Entry 1:
Entry from Alexandria via LeMat-Bulk: an optimized crystal structure of Li2Pr3CuPd9 (GGA-PBE).

```
data_Li2Pr3CuPd9
_cell_length_a 6.6856
_cell_length_b 6.6856
_cell_length_c 7.2639
_cell_angle_alpha 90.00
_cell_angle_beta 90.00
_cell_angle_gamma 120.00
_space_group_name_H-M_alt 'P -3 m 1'
_space_group_IT_number 164
_space_group_name_Hall '-P 3 2"'
loop_
_atom_site_label
_atom_site_type_symbol
_atom_site_fract_x
_atom_site_fract_y
_atom_site_fract_z
Li1 Li 0.3333 0.6667 0.1389
Pr1 Pr 0.0000 0.0000 0.0000
Pr2 Pr 0.3333 0.6667 0.6687
Cu1 Cu 0.0000 0.0000 0.5000
Pd1 Pd 0.0000 0.5000 0.0000
Pd2 Pd 0.1813 0.3626 0.3336
```

Energy relative to the elements: -0.40 eV per atom
E: -4.996 eV/atom
Spin magnetization: 0.000 μB/f.u.
Mass density: 8.6 g/cm³

=====

Entry 2:
Entry from Alexandria via LeMat-Bulk: an optimized crystal structure of TlCu3Br (GGA-PBE).

```
data_TlCu3Br
_cell_length_a 4.808
_cell_length_b 4.808
_cell_length_c 4.808
_cell_angle_alpha 90.00
_cell_angle_beta 90.00
_cell_angle_gamma 90.00
_space_group_name_H-M_alt 'P m -3 m'
_space_group_IT_number 221
_space_group_name_Hall '-P 4 2 3'
loop_
_atom_site_label
_atom_site_type_symbol
_atom_site_fract_x
_atom_site_fract_y
_atom_site_fract_z
Tl1 Tl 0.000 0.000 0.000
Cu1 Cu 0.000 0.500 0.500
Br1 Br 0.500 0.500 0.500
```

E: -2.497 eV/atom
E_form (uncorrected): 0.77 eV/atom
Spin magnetization: 0.000 μB/f.u.
Mass density: 7.1 g/cm³

=====

Entry 3:
Entry from Alexandria via LeMat-Bulk: an optimized crystal structure of Tb2Sm2YTm (GGA-PBE).

```
data_Tb2Sm2YTm
_cell_length_a 7.014
_cell_length_b 5.635
_cell_length_c 9.763
_cell_angle_alpha 90.00
_cell_angle_beta 90.00
_cell_angle_gamma 90.00
_space_group_name_H-M_alt 'P m m a'
_space_group_IT_number 51
loop_
_space_group_symop_operation_xyz
'x,y,z'
'-x,-y,-z'
'-x+1/2,-y,z'
'x+1/2,y,-z'
'x+1/2,-y,-z'
'-x+1/2,y,z'
'-x,y,-z'
'x,-y,z'
loop_
_atom_site_label
_atom_site_type_symbol
_atom_site_fract_x
_atom_site_fract_y
_atom_site_fract_z
Tb1 Tb 0.250 0.000 0.162
Tb2 Tb 0.250 0.500 0.670
Sm1 Sm 0.000 0.500 0.000
Sm2 Sm 0.250 0.000 0.825
Y1 Y 0.000 0.000 0.500
Tm1 Tm 0.250 0.500 0.339
```

Energy relative to the elements: 0.06 eV per atom
E: -4.876 eV/atom
Spin magnetization: 0.000 μB/f.u.
Mass density: 7.5 g/cm³

=====

Entry 4:
Entry from Alexandria via LeMat-Bulk: an optimized crystal structure of Ca2LaPt (GGA-PBE).

```
data_Ca2LaPt
_cell_length_a 7.521
_cell_length_b 7.542
_cell_length_c 7.562
_cell_angle_alpha 90.00
_cell_angle_beta 90.00
_cell_angle_gamma 90.00
_space_group_name_H-M_alt 'F 2 2 2'
_space_group_IT_number 22
_space_group_name_Hall 'F 2 2'
loop_
_atom_site_label
_atom_site_type_symbol
_atom_site_fract_x
_atom_site_fract_y
_atom_site_fract_z
Ca1 Ca 0.000 0.000 0.000
Ca2 Ca 0.250 0.250 0.250
La1 La 0.250 0.250 0.750
Pt1 Pt 0.000 0.000 0.500
```

Energy relative to the elements: -0.30 eV per atom
E: -4.047 eV/atom
Spin magnetization: 0.000 μB/f.u.
Mass density: 6.4 g/cm³